1.
{"formula": "Li2Zn2Sn", "functional": "meta-GGA SCAN", "state": "PBEsol geometry", "lattice_angstrom": [[3.244, 0.000, 0.000], [0.000, 7.182, 0.000], [0.000, 0.000, 7.182]], "species": ["Li", "Sn", "Zn", "Li", "Li", "Zn", "Sn", "Li", "Zn", "Zn"], "frac_coords": [[0.500, 0.831, 0.331], [0.000, 0.000, 0.000], [0.000, 0.123, 0.377], [0.500, 0.169, 0.669], [0.500, 0.669, 0.831], [0.000, 0.877, 0.623], [0.000, 0.500, 0.500], [0.500, 0.331, 0.169], [0.000, 0.623, 0.123], [0.000, 0.377, 0.877]], "ef_kj_per_mol_fu": -98}


2.
{"formula": "LaBe2Ni2", "functional": "meta-GGA SCAN", "state": "PBEsol geometry", "lattice_angstrom": [[-0.445, -3.620, 0.879], [1.364, -0.982, -3.355], [4.138, 2.197, 3.137]], "species": ["Ni", "La", "Be", "Ni", "Be"], "frac_coords": [[0.630, 0.630, 0.261], [0.000, 0.000, 0.000], [0.750, 0.250, 0.500], [0.370, 0.370, 0.739], [0.250, 0.750, 0.500]], "ef_kj_per_mol_fu": -107}


3.
{"formula": "TlSbTe2F", "functional": "meta-GGA SCAN", "state": "PBEsol geometry", "lattice_angstrom": [[5.615, 0.000, 0.000], [0.000, 5.615, 0.000], [0.000, 0.000, 5.656]], "species": ["F", "Te", "Tl", "Sb", "Te"], "frac_coords": [[0.500, 0.500, 0.500], [0.500, 0.000, 0.000], [0.000, 0.000, 0.000], [0.000, 0.000, 0.500], [0.000, 0.500, 0.000]], "raw_formation_energy_ev_per_atom": 0.662}


4.
{"formula": "Ca2TcNiSb", "functional": "meta-GGA SCAN", "state": "PBEsol geometry", "lattice_angstrom": [[4.464, 0.000, 0.000], [0.000, 5.116, 0.000], [0.000, 0.000, 5.116]], "species": ["Ca", "Sb", "Ca", "Tc", "Ni"], "frac_coords": [[0.000, 0.500, 0.000], [0.500, 0.500, 0.500], [0.000, 0.000, 0.500], [0.500, 0.000, 0.000], [0.000, 0.000, 0.000]], "raw_formation_energy_ev_per_atom": 0.162}


5.
{"formula": "ZrSc2Tl", "functional": "meta-GGA SCAN", "state": "PBEsol geometry", "lattice_angstrom": [[4.300, 0.000, 0.000], [0.000, 4.300, 0.000], [-2.150, -2.150, 4.720]], "species": ["Sc", "Sc", "Tl", "Zr"], "frac_coords": [[0.000, 0.000, 0.000], [0.750, 0.250, 0.500], [0.500, 0.500, 0.000], [0.250, 0.750, 0.500]], "ef_kj_per_mol_fu": -112}


6.
{"formula": "ReSbI2F", "functional": "meta-GGA SCAN", "state": "PBEsol geometry", "lattice_angstrom": [[4.200, 0.000, 0.000], [0.000, 5.583, 0.000], [0.000, 0.000, 5.583]], "species": ["Re", "Sb", "I", "F", "I"], "frac_coords": [[0.500, 0.500, 0.500], [0.500, 0.000, 0.000], [0.000, 0.000, 0.500], [0.000, 0.000, 0.000], [0.000, 0.500, 0.000]], "raw_formation_energy_ev_per_atom": 0.995}


7.
{"formula": "Sc2InOs", "functional": "meta-GGA SCAN", "state": "PBEsol geometry", "lattice_angstrom": [[-2.420, -0.343, -2.020], [-2.501, -1.773, 0.809], [-5.623, 6.532, 3.139]], "species": ["Os", "In", "Sc", "Sc"], "frac_coords": [[0.000, 0.000, 0.000], [0.500, 0.500, 0.500], [0.739, 0.739, 0.783], [0.261, 0.261, 0.217]], "ef_kj_per_mol_fu": -112}


8.
{"formula": "Ca2Cu", "functional": "meta-GGA SCAN", "state": "PBEsol geometry", "lattice_angstrom": [[3.754, 0.000, 0.000], [-1.877, 6.518, 0.000], [0.000, 0.000, 6.943]], "species": ["Ca", "Cu", "Ca", "Cu", "Ca", "Ca"], "frac_coords": [[0.484, 0.968, 0.264], [0.885, 0.770, 0.982], [0.780, 0.560, 0.584], [0.115, 0.230, 0.482], [0.220, 0.440, 0.084], [0.516, 0.032, 0.764]], "ef_kj_per_mol_fu": -8}


| no. | spin magnetization (μB/cell) | Fermi-level density of states (states/eV per cell) | total energy (eV per atom) |
| --- | --- | --- | --- |
| 1 | 0.000 | 2.472 | -13.749 |
| 2 | 0.000 | 2.809 | -17.053 |
| 3 | 0.002 | 5.578 | -36.870 |
| 4 | 1.021 | 3.048 | -21.402 |
| 5 | 1.172 | 2.475 | -33.173 |
| 6 | 4.853 | 3.018 | -36.081 |
| 7 | 0.000 | 2.817 | -33.724 |
| 8 | 0.000 | 3.848 | -11.536 |